Entry from the Alexandria database: an optimized crystal structure of Li2TbCoF8 (GGA+U).

E_tot ... -5.30 eV per atom

Lattice parameters (Å, degrees): 4.752 4.760 6.595 88.87 90.90 88.00
Sites, in units of the cell vectors:
Co 0.000 0.000 0.000
F 0.806 0.195 0.778
F 0.735 0.736 0.001
F 0.206 0.794 0.770
F 0.684 0.685 0.500
F 0.194 0.805 0.222
F 0.794 0.206 0.230
F 0.265 0.264 0.999
F 0.316 0.315 0.500
Li 0.498 0.499 0.746
Li 0.502 0.501 0.254
Tb 0.000 0.000 0.500